Entry 1:
Material: Li3Cu2W4O16
Method: DFT, meta-GGA SCAN
State: PBEsol geometry

Cell lengths 5.6992, 6.6597, 7.9413 Å; angles 72.10, 80.86, 72.27 degrees
Space group P1 (No. 1)
Symmetry-distinct sites (fractional):
Li 0.0000 0.0000 0.0000
Li 0.1359 0.7076 0.7477
Li 0.4990 0.4895 0.4932
Cu 0.0671 0.8503 0.3707
Cu 0.5694 0.3606 0.8812
W 0.0469 0.3964 0.1656
W 0.0810 0.3048 0.5789
W 0.5525 0.9043 0.6637
W 0.5862 0.8089 0.0829
O 0.0473 0.1120 0.1920
O 0.1019 0.5883 0.5553
O 0.2051 0.9930 0.5888
O 0.2311 0.4498 0.9558
O 0.2727 0.3506 0.3229
O 0.3501 0.8640 0.9267
O 0.4033 0.7563 0.2930
O 0.4251 0.2152 0.6561
O 0.5283 0.6190 0.6941
O 0.6003 0.0906 0.0468
O 0.7149 0.4994 0.0783
O 0.7393 0.9377 0.4601
O 0.7895 0.8448 0.8178
O 0.8416 0.3659 0.4273
O 0.8996 0.2633 0.7909
O 0.9243 0.7176 0.1603

Fermi-level density of states in states/eV per cell: 4.758
Volume in Å³/atom: 10.90
Raw formation energy in eV/atom: -1.994



Entry 2:
Material: LiCu2Os
Method: DFT, meta-GGA SCAN
State: PBEsol geometry

Cell lengths 3.5716, 3.5716, 7.5479 Å; angles 90.00, 90.00, 90.00 degrees
Space group I-4m2 (No. 119)
Symmetry-distinct sites (fractional):
Li 0.0000 0.0000 0.0000
Cu 0.0000 0.0000 0.5000
Cu 0.0000 0.5000 0.7500
Os 0.0000 0.5000 0.2500

Fermi-level density of states in states/eV per cell: 8.600
ΔH_f (0 K) in meV per atom: 434
Volume in Å³/atom: 12.04



Entry 3:
Material: LiCu2Os
Method: DFT, meta-GGA SCAN
State: PBEsol geometry

Cell lengths 2.5448, 2.5448, 7.9465 Å; angles 90.00, 90.00, 90.00 degrees
Space group P4/mmm (No. 123)
Symmetry-distinct sites (fractional):
Li 0.0000 0.0000 0.0000
Cu 0.5000 0.5000 0.2547
Os 0.0000 0.0000 0.5000

Fermi-level density of states in states/eV per cell: 2.876
ΔH_f (0 K) in meV per atom: 262
Volume in Å³/atom: 12.87



- Which of these has the highest Fermi-level density of states?
  number 2



- The lowest volume belongs to which entry?
  Li3Cu2W4O16